Run P
A plane-wave DFT calculation with PBE-GGA was carried out for a geometry-optimized CeSb2Pb structure.

Computed properties:
As for the density of states at the Fermi level: 5.57 states/eV/f.u.

a b c (Å): 5.507 5.507 5.507
angles (deg): 60.00 60.00 60.00
Atoms (fractional coordinates):
Ce1 0.000 0.000 0.000
Sb1 0.250 0.250 0.250
Sb2 0.750 0.750 0.750
Pb1 0.500 0.500 0.500

Run Q
A plane-wave DFT calculation with PBE-GGA was carried out for a geometry-optimized CeSb2Pb structure.

Computed properties:
As for the density of states at the Fermi level: 4.94 states/eV/f.u.

a b c (Å): 4.163 4.163 6.653
angles (deg): 90.00 90.00 90.00
Atoms (fractional coordinates):
Ce1 0.000 0.000 0.000
Sb1 0.500 0.500 0.233
Sb2 0.500 0.500 0.767
Pb1 0.000 0.000 0.500

Need the numbers? Relative energies in kJ/mol of atoms: run P 11.4; run Q 0.0.

Run P
A plane-wave DFT calculation with PBE-GGA was carried out for a geometry-optimized CeSb2Pb structure.

Computed properties:
As for the density of states at the Fermi level: 6.26 states/eV/f.u.

a b c (Å): 12.534 12.534 12.534
angles (deg): 15.39 15.39 15.39
Atoms (fractional coordinates):
Ce1 0.000 0.000 0.000
Sb1 0.086 0.086 0.086
Sb2 0.914 0.914 0.914
Pb1 0.500 0.500 0.500

Run Q
A plane-wave DFT calculation with PBE-GGA was carried out for a geometry-optimized CeSb2Pb structure.

Computed properties:
As for the density of states at the Fermi level: 4.81 states/eV/f.u.

a b c (Å): 4.475 4.475 11.562
angles (deg): 90.00 90.00 90.00
Atoms (fractional coordinates):
Ce1 0.250 0.250 0.215
Ce2 0.750 0.750 0.785
Sb1 0.250 0.250 0.737
Sb2 0.250 0.750 0.000
Sb3 0.750 0.250 0.000
Sb4 0.750 0.750 0.263
Pb1 0.250 0.750 0.500
Pb2 0.750 0.250 0.500

Need the numbers? Relative energies in kJ/mol of atoms: run P 66.4; run Q 0.0.

Run P
A plane-wave DFT calculation with PBE-GGA was carried out for a geometry-optimized CeSb2Pb structure.

Computed properties:
As for the density of states at the Fermi level: 4.60 states/eV/f.u.

a b c (Å): 5.180 5.180 4.249
angles (deg): 90.00 90.00 96.85
Atoms (fractional coordinates):
Ce1 0.000 0.000 0.000
Sb1 0.000 0.500 0.500
Sb2 0.500 0.000 0.500
Pb1 0.500 0.500 0.000

Run Q
A plane-wave DFT calculation with PBE-GGA was carried out for a geometry-optimized CeSb2Pb structure.

Computed properties:
As for the density of states at the Fermi level: 1.24 states/eV/f.u.

a b c (Å): 7.869 7.869 7.869
angles (deg): 33.93 33.93 33.93
Atoms (fractional coordinates):
Ce1 0.000 0.000 0.000
Sb1 0.411 0.411 0.411
Sb2 0.593 0.593 0.593
Pb1 0.829 0.829 0.829

Need the numbers? Relative energies in kJ/mol of atoms: run P 0.0; run Q 10.3.

Run P
A plane-wave DFT calculation with PBE-GGA was carried out for a geometry-optimized Ce4SbPb2 structure.

Computed properties:
As for the density of states at the Fermi level: 26.29 states/eV/f.u.

a b c (Å): 8.295 8.295 8.295
angles (deg): 109.24 109.24 109.93
Atoms (fractional coordinates):
Ce1 0.118 0.224 0.748
Ce2 0.120 0.726 0.752
Ce3 0.274 0.026 0.394
Ce4 0.476 0.370 0.252
Ce5 0.630 0.882 0.106
Ce6 0.632 0.880 0.606
Ce7 0.776 0.524 0.894
Ce8 0.974 0.368 0.248
Sb1 0.000 0.000 0.000
Sb2 0.750 0.250 0.500
Pb1 0.252 0.625 0.127
Pb2 0.375 0.502 0.627
Pb3 0.498 0.125 0.873
Pb4 0.875 0.748 0.373

Run Q
A plane-wave DFT calculation with PBE-GGA was carried out for a geometry-optimized Ce4SbPb2 structure.

Computed properties:
As for the density of states at the Fermi level: 22.12 states/eV/f.u.

a b c (Å): 6.166 6.579 10.817
angles (deg): 90.00 103.30 90.00
Atoms (fractional coordinates):
Ce1 0.028 0.250 0.366
Ce2 0.165 0.250 0.959
Ce3 0.440 0.540 0.233
Ce4 0.440 0.960 0.233
Ce5 0.560 0.040 0.767
Ce6 0.560 0.460 0.767
Ce7 0.835 0.750 0.041
Ce8 0.972 0.750 0.634
Sb1 0.055 0.250 0.668
Sb2 0.945 0.750 0.332
Pb1 0.278 0.750 0.934
Pb2 0.426 0.750 0.511
Pb3 0.574 0.250 0.489
Pb4 0.722 0.250 0.066

Need the numbers? Relative energies in kJ/mol of atoms: run P 0.0; run Q 12.6.

Run P
A plane-wave DFT calculation with PBE-GGA was carried out for a geometry-optimized Ce4SbPb structure.

Computed properties:
As for the density of states at the Fermi level: 15.52 states/eV/f.u.

a b c (Å): 3.283 5.133 9.264
angles (deg): 90.00 90.00 90.00
Atoms (fractional coordinates):
Ce1 0.000 0.000 0.168
Ce2 0.000 0.000 0.832
Ce3 0.000 0.500 0.320
Ce4 0.000 0.500 0.680
Sb1 0.500 0.500 0.000
Pb1 0.500 0.000 0.500

Run Q
A plane-wave DFT calculation with PBE-GGA was carried out for a geometry-optimized Ce4SbPb structure.

Computed properties:
As for the density of states at the Fermi level: 22.21 states/eV/f.u.

a b c (Å): 8.771 8.771 8.771
angles (deg): 132.01 124.26 76.58
Atoms (fractional coordinates):
Ce1 0.000 0.193 0.193
Ce2 0.000 0.807 0.807
Ce3 0.275 0.000 0.775
Ce4 0.275 0.500 0.275
Ce5 0.500 0.193 0.693
Ce6 0.500 0.807 0.307
Ce7 0.725 0.000 0.225
Ce8 0.725 0.500 0.725
Sb1 0.101 0.851 0.250
Sb2 0.899 0.149 0.750
Pb1 0.347 0.597 0.750
Pb2 0.653 0.403 0.250

Need the numbers? Relative energies in kJ/mol of atoms: run P 0.0; run Q 5.6.

Run P
A plane-wave DFT calculation with PBE-GGA was carried out for a geometry-optimized CeScPb structure.

Computed properties:
As for the density of states at the Fermi level: 8.19 states/eV/f.u.

a b c (Å): 6.300 6.300 6.300
angles (deg): 144.30 144.30 51.37
Atoms (fractional coordinates):
Ce1 0.000 0.000 0.000
Sc1 0.309 0.309 0.000
Pb1 0.681 0.681 0.000

Run Q
A plane-wave DFT calculation with PBE-GGA was carried out for a geometry-optimized CeScPb structure.

Computed properties:
As for the density of states at the Fermi level: 7.19 states/eV/f.u.

a b c (Å): 5.206 5.206 3.607
angles (deg): 90.00 90.00 120.00
Atoms (fractional coordinates):
Ce1 0.000 0.000 0.000
Sc1 0.667 0.333 0.500
Pb1 0.333 0.667 0.500

Need the numbers? Relative energies in kJ/mol of atoms: run P 4.7; run Q 0.0.

Run P
A plane-wave DFT calculation with PBE-GGA was carried out for a geometry-optimized CeScPb structure.

Computed properties:
As for the density of states at the Fermi level: 6.23 states/eV/f.u.

a b c (Å): 5.316 5.316 6.402
angles (deg): 90.00 90.00 120.00
Atoms (fractional coordinates):
Ce1 0.000 0.000 0.000
Ce2 0.000 0.000 0.500
Sc1 0.333 0.667 0.250
Sc2 0.667 0.333 0.750
Pb1 0.333 0.667 0.750
Pb2 0.667 0.333 0.250

Run Q
A plane-wave DFT calculation with PBE-GGA was carried out for a geometry-optimized CeScPb structure.

Computed properties:
As for the density of states at the Fermi level: 6.77 states/eV/f.u.

a b c (Å): 8.572 8.572 8.572
angles (deg): 33.67 33.67 33.67
Atoms (fractional coordinates):
Ce1 0.144 0.144 0.144
Ce2 0.856 0.856 0.856
Sc1 0.288 0.288 0.288
Sc2 0.712 0.712 0.712
Pb1 0.413 0.413 0.413
Pb2 0.587 0.587 0.587

Run R
A plane-wave DFT calculation with PBE-GGA was carried out for a geometry-optimized CeScPb structure.

Computed properties:
As for the density of states at the Fermi level: 6.51 states/eV/f.u.

a b c (Å): 8.138 8.138 4.692
angles (deg): 90.00 90.00 148.74
Atoms (fractional coordinates):
Ce1 0.065 0.935 0.750
Ce2 0.935 0.065 0.250
Sc1 0.254 0.746 0.250
Sc2 0.746 0.254 0.750
Pb1 0.386 0.614 0.750
Pb2 0.614 0.386 0.250

Need the numbers? Relative energies in kJ/mol of atoms: run P 0.0; run Q 25.0; run R 4.5.

Run P
A plane-wave DFT calculation with PBE-GGA was carried out for a geometry-optimized Ce2ScPb2 structure.

Computed properties:
As for the density of states at the Fermi level: 12.35 states/eV/f.u.

a b c (Å): 9.327 9.327 6.445
angles (deg): 90.00 90.00 148.07
Atoms (fractional coordinates):
Ce1 0.000 0.000 0.000
Ce2 0.000 0.000 0.500
Ce3 0.198 0.802 0.750
Ce4 0.802 0.198 0.250
Sc1 0.403 0.597 0.750
Sc2 0.597 0.403 0.250
Pb1 0.178 0.822 0.250
Pb2 0.420 0.580 0.250
Pb3 0.580 0.420 0.750
Pb4 0.822 0.178 0.750

Run Q
A plane-wave DFT calculation with PBE-GGA was carried out for a geometry-optimized Ce2ScPb2 structure.

Computed properties:
As for the density of states at the Fermi level: 8.56 states/eV/f.u.

a b c (Å): 8.194 8.194 4.374
angles (deg): 90.00 90.00 90.00
Atoms (fractional coordinates):
Ce1 0.121 0.379 0.000
Ce2 0.379 0.879 0.000
Ce3 0.621 0.121 0.000
Ce4 0.879 0.621 0.000
Sc1 0.000 0.000 0.500
Sc2 0.500 0.500 0.500
Pb1 0.174 0.674 0.500
Pb2 0.326 0.174 0.500
Pb3 0.674 0.826 0.500
Pb4 0.826 0.326 0.500

Need the numbers? Relative energies in kJ/mol of atoms: run P 1.2; run Q 0.0.

Run P
A plane-wave DFT calculation with PBE-GGA was carried out for a geometry-optimized Ce2ScPb3 structure.

Computed properties:
As for the density of states at the Fermi level: 13.98 states/eV/f.u.

a b c (Å): 6.971 6.971 10.277
angles (deg): 111.63 111.63 54.44
Atoms (fractional coordinates):
Ce1 0.175 0.176 0.588
Ce2 0.176 0.175 0.088
Ce3 0.824 0.825 0.912
Ce4 0.825 0.824 0.412
Sc1 0.499 0.501 0.750
Sc2 0.501 0.499 0.250
Pb1 0.001 0.999 0.250
Pb2 0.352 0.353 0.926
Pb3 0.353 0.352 0.426
Pb4 0.647 0.648 0.574
Pb5 0.648 0.647 0.074
Pb6 0.999 0.001 0.750

Run Q
A plane-wave DFT calculation with PBE-GGA was carried out for a geometry-optimized Ce2ScPb3 structure.

Computed properties:
As for the density of states at the Fermi level: 14.38 states/eV/f.u.

a b c (Å): 7.895 7.895 8.994
angles (deg): 90.00 90.00 143.12
Atoms (fractional coordinates):
Ce1 0.000 0.000 0.000
Ce2 0.000 0.000 0.500
Ce3 0.335 0.665 0.000
Ce4 0.665 0.335 0.000
Sc1 0.327 0.673 0.500
Sc2 0.673 0.327 0.500
Pb1 0.170 0.830 0.261
Pb2 0.170 0.830 0.739
Pb3 0.500 0.500 0.261
Pb4 0.500 0.500 0.739
Pb5 0.830 0.170 0.261
Pb6 0.830 0.170 0.739

Need the numbers? Relative energies in kJ/mol of atoms: run P 9.1; run Q 0.0.

Run P
A plane-wave DFT calculation with PBE-GGA was carried out for a geometry-optimized CeSc3Pb2 structure.

Computed properties:
As for the density of states at the Fermi level: 12.25 states/eV/f.u.

a b c (Å): 9.212 9.212 8.463
angles (deg): 111.68 111.68 29.33
Atoms (fractional coordinates):
Ce1 0.116 0.116 0.161
Ce2 0.884 0.884 0.839
Sc1 0.071 0.071 0.694
Sc2 0.303 0.303 0.101
Sc3 0.366 0.366 0.507
Sc4 0.634 0.634 0.493
Sc5 0.697 0.697 0.899
Sc6 0.929 0.929 0.306
Pb1 0.241 0.241 0.694
Pb2 0.482 0.482 0.168
Pb3 0.518 0.518 0.832
Pb4 0.759 0.759 0.306

Run Q
A plane-wave DFT calculation with PBE-GGA was carried out for a geometry-optimized CeSc3Pb2 structure.

Computed properties:
As for the density of states at the Fermi level: 7.10 states/eV/f.u.

a b c (Å): 4.393 4.393 8.190
angles (deg): 90.00 90.00 90.00
Atoms (fractional coordinates):
Ce1 0.000 0.000 0.000
Sc1 0.000 0.500 0.338
Sc2 0.500 0.000 0.662
Sc3 0.500 0.500 0.000
Pb1 0.000 0.500 0.706
Pb2 0.500 0.000 0.294

Need the numbers? Relative energies in kJ/mol of atoms: run P 2.4; run Q 0.0.

Run P
A plane-wave DFT calculation with PBE-GGA was carried out for a geometry-optimized CePbSe3 structure.

a b c (Å): 7.860 7.860 8.447
angles (deg): 96.26 96.26 41.01
Atoms (fractional coordinates):
Ce1 0.132 0.132 0.414
Ce2 0.868 0.868 0.586
Pb1 0.359 0.359 0.150
Pb2 0.641 0.641 0.850
Se1 0.055 0.055 0.708
Se2 0.166 0.166 0.095
Se3 0.332 0.332 0.506
Se4 0.668 0.668 0.494
Se5 0.834 0.834 0.905
Se6 0.945 0.945 0.292

Run Q
A plane-wave DFT calculation with PBE-GGA was carried out for a geometry-optimized CePbSe3 structure.

a b c (Å): 7.498 7.498 3.878
angles (deg): 90.00 90.00 120.00
Atoms (fractional coordinates):
Ce1 0.000 0.000 0.000
Pb1 0.333 0.667 0.000
Se1 0.065 0.311 0.500
Se2 0.246 0.935 0.500
Se3 0.689 0.754 0.500

Need the numbers? Relative energies in kJ/mol of atoms: run P 0.0; run Q 5.1.